## Rb2Mn2Al (GGA-PBE)

Data for crystalline Rb2Mn2Al at its relaxed geometry.

Computed properties:
Crystal system: tetragonal
E (eV per atom): -3.49
Calculated volume (Å³/atom): 31.86
SG: P4/mbm (127)
Energy of formation from the pure elements (eV/f.u.): 6.5
D(E_F) (states/eV/f.u.): 5.8

Cell: 10.2822 10.2822 3.0137 Å, 90.00 90.00 90.00°
Closest atoms and distances in Å follow each position.
Sites, in units of the cell vectors:
Rb1 0.2121 0.2879 0.0000  2 Rb 3.01
Rb2 0.2879 0.7879 0.0000  2 Rb 3.01
Rb3 0.7121 0.2121 0.0000  2 Rb 3.01
Rb4 0.7879 0.7121 0.0000  2 Rb 3.01
Mn1 0.0643 0.5643 0.5000  1 Mn 1.87
Mn2 0.4357 0.0643 0.5000  1 Mn 1.87
Mn3 0.5643 0.9357 0.5000  1 Mn 1.87
Mn4 0.9357 0.4357 0.5000  1 Mn 1.87
Al1 0.0000 0.0000 0.5000  2 Al 3.01
Al2 0.5000 0.5000 0.5000  2 Al 3.01

## RbMn2Al2 (GGA-PBE)

Data for crystalline RbMn2Al2 at its relaxed geometry.

Computed properties:
Crystal system: tetragonal
E (eV per atom): -4.94
Calculated volume (Å³/atom): 20.76
SG: I4/mmm (139)
Energy of formation from the pure elements (eV/f.u.): 2.1
D(E_F) (states/eV/f.u.): 3.9

Cell: 10.3340 10.3340 10.3340 Å, 162.14 162.14 25.37°
Closest atoms and distances in Å follow each position.
Sites, in units of the cell vectors:
Rb1 0.0000 0.0000 0.0000  4 Rb 3.21
Mn1 0.2500 0.7500 0.5000  4 Mn 2.27
Mn2 0.7500 0.2500 0.5000  4 Mn 2.27
Al1 0.3519 0.3519 0.0000  4 Mn 2.61
Al2 0.6481 0.6481 0.0000  4 Mn 2.61

## RbMnAl2 (GGA-PBE)

Data for crystalline RbMnAl2 at its relaxed geometry.

Computed properties:
Crystal system: cubic
E (eV per atom): -3.62
Calculated volume (Å³/atom): 23.55
SG: Fm-3m (225)
Energy of formation from the pure elements (eV/f.u.): 3.1
D(E_F) (states/eV/f.u.): 2.6

Cell: 5.1076 5.1076 5.1076 Å, 60.00 60.00 60.00°
Closest atoms and distances in Å follow each position.
Sites, in units of the cell vectors:
Rb1 0.0000 0.0000 0.0000  8 Al 3.13
Mn1 0.5000 0.5000 0.5000  8 Al 3.13
Al1 0.2500 0.2500 0.2500  4 Mn 3.13, 4 Rb 3.13
Al2 0.7500 0.7500 0.7500  4 Mn 3.13, 4 Rb 3.13

## RbMnAlRu2 (GGA-PBE)

Data for crystalline RbMnAlRu2 at its relaxed geometry.

Computed properties:
Crystal system: tetragonal
E (eV per atom): -5.44
Calculated volume (Å³/atom): 20.08
SG: P4/mmm (123)
Energy of formation from the pure elements (eV/f.u.): 5.3
D(E_F) (states/eV/f.u.): 6.5

Cell: 4.5689 4.5689 4.8103 Å, 90.00 90.00 90.00°
Closest atoms and distances in Å follow each position.
Sites, in units of the cell vectors:
Rb1 0.0000 0.0000 0.0000  4 Al 3.23, 8 Ru 3.32
Mn1 0.5000 0.5000 0.5000  4 Ru 2.28, 2 Al 2.41
Al1 0.5000 0.5000 0.0000  2 Mn 2.41
Ru1 0.0000 0.5000 0.5000  2 Mn 2.28
Ru2 0.5000 0.0000 0.5000  2 Mn 2.28

## RbSc2MnAl (GGA-PBE)

Data for crystalline RbSc2MnAl at its relaxed geometry.

Computed properties:
Crystal system: tetragonal
E (eV per atom): -4.25
Calculated volume (Å³/atom): 36.03
SG: P4/mmm (123)
Energy of formation from the pure elements (eV/f.u.): 5.3
D(E_F) (states/eV/f.u.): 6.3

Cell: 5.3339 5.3339 6.3313 Å, 90.00 90.00 90.00°
Closest atoms and distances in Å follow each position.
Sites, in units of the cell vectors:
Rb1 0.0000 0.0000 0.0000  2 Al 3.17
Sc1 0.0000 0.5000 0.5000  2 Al 2.67
Sc2 0.5000 0.0000 0.5000  2 Al 2.67
Mn1 0.5000 0.5000 0.0000  4 Rb 3.77, 8 Sc 4.14
Al1 0.0000 0.0000 0.5000  4 Sc 2.67

## Rb2ScMnAl (GGA-PBE)

Data for crystalline Rb2ScMnAl at its relaxed geometry.

Computed properties:
Crystal system: tetragonal
E (eV per atom): -2.97
Calculated volume (Å³/atom): 54.12
SG: P4/mmm (123)
Energy of formation from the pure elements (eV/f.u.): 6.3
D(E_F) (states/eV/f.u.): 5.7

Cell: 7.1566 7.1566 5.2832 Å, 90.00 90.00 90.00°
Closest atoms and distances in Å follow each position.
Sites, in units of the cell vectors:
Rb1 0.0000 0.5000 0.0000  2 Sc 3.58
Rb2 0.5000 0.0000 0.0000  2 Sc 3.58
Sc1 0.0000 0.0000 0.0000  2 Al 2.64
Mn1 0.5000 0.5000 0.5000  8 Rb 4.45
Al1 0.0000 0.0000 0.5000  2 Sc 2.64

## Rb2MnAlSe4 (GGA-PBE)

Data for crystalline Rb2MnAlSe4 at its relaxed geometry.

Computed properties:
Crystal system: orthorhombic
E (eV per atom): -4.54
Calculated volume (Å³/atom): 32.72
SG: Fddd (70)
D(E_F) (states/eV/f.u.): 3.3
Uncorrected formation energy (eV per formula unit): -7.57

Cell: 13.8958 12.2559 7.8434 Å, 84.44 61.38 34.18°
Closest atoms and distances in Å follow each position.
Sites, in units of the cell vectors:
Rb1 0.0545 0.0545 0.6955  8 Se 3.66-3.81
Rb2 0.3045 0.3045 0.9455  8 Se 3.66-3.81
Rb3 0.6955 0.6955 0.0545  8 Se 3.66-3.81
Rb4 0.9455 0.9455 0.3045  8 Se 3.66-3.81
Mn1 0.1250 0.1250 0.1250  4 Se 2.44
Mn2 0.8750 0.8750 0.8750  4 Se 2.44
Al1 0.3750 0.3750 0.3750  4 Se 2.41
Al2 0.6250 0.6250 0.6250  4 Se 2.41
Se1 0.0214 0.3337 0.4237  1 Al 2.41, 1 Mn 2.44
Se2 0.2788 0.5763 0.6663  1 Al 2.41, 1 Mn 2.44
Se3 0.3337 0.0214 0.7212  1 Al 2.41, 1 Mn 2.44
Se4 0.4237 0.7212 0.0214  1 Al 2.41, 1 Mn 2.44
Se5 0.5763 0.2788 0.9786  1 Al 2.41, 1 Mn 2.44
Se6 0.6663 0.9786 0.2788  1 Al 2.41, 1 Mn 2.44
Se7 0.7212 0.4237 0.3337  1 Al 2.41, 1 Mn 2.44
Se8 0.9786 0.6663 0.5763  1 Al 2.41, 1 Mn 2.44

## Rb2MnAlTe4 (GGA-PBE)

Data for crystalline Rb2MnAlTe4 at its relaxed geometry.

Computed properties:
Crystal system: orthorhombic
E (eV per atom): -4.07
Calculated volume (Å³/atom): 38.48
SG: Fddd (70)
D(E_F) (states/eV/f.u.): 3.7
Uncorrected formation energy (eV per formula unit): -5.15

Cell: 15.0786 13.7315 7.7666 Å, 84.21 64.96 30.83°
Closest atoms and distances in Å follow each position.
Sites, in units of the cell vectors:
Rb1 0.0587 0.0587 0.6913  8 Te 3.92-3.97, 2 Mn 4.27, 2 Al 4.27
Rb2 0.3087 0.3087 0.9413  8 Te 3.92-3.97, 2 Mn 4.27, 2 Al 4.27
Rb3 0.6913 0.6913 0.0587  8 Te 3.92-3.97, 2 Mn 4.27, 2 Al 4.27
Rb4 0.9413 0.9413 0.3087  8 Te 3.92-3.97, 2 Al 4.27, 2 Mn 4.27
Mn1 0.3750 0.3750 0.3750  4 Te 2.66
Mn2 0.6250 0.6250 0.6250  4 Te 2.66
Al1 0.1250 0.1250 0.1250  4 Te 2.64
Al2 0.8750 0.8750 0.8750  4 Te 2.64
Te1 0.0326 0.3351 0.4110  1 Al 2.64, 1 Mn 2.66
Te2 0.2787 0.5890 0.6649  1 Al 2.64, 1 Mn 2.66
Te3 0.3351 0.0326 0.7213  1 Al 2.64, 1 Mn 2.66
Te4 0.4110 0.7213 0.0326  1 Al 2.64, 1 Mn 2.66
Te5 0.5890 0.2787 0.9674  1 Al 2.64, 1 Mn 2.66
Te6 0.6649 0.9674 0.2787  1 Al 2.64, 1 Mn 2.66
Te7 0.7213 0.4110 0.3351  1 Al 2.64, 1 Mn 2.66
Te8 0.9674 0.6649 0.5890  1 Al 2.64, 1 Mn 2.66

## RbMn2AlZn (GGA-PBE)

Data for crystalline RbMn2AlZn at its relaxed geometry.

Computed properties:
Crystal system: tetragonal
E (eV per atom): -3.86
Calculated volume (Å³/atom): 33.83
SG: P4/mmm (123)
Energy of formation from the pure elements (eV/f.u.): 5.0
D(E_F) (states/eV/f.u.): 6.1

Cell: 5.0235 5.0235 6.7027 Å, 90.00 90.00 90.00°
Closest atoms and distances in Å follow each position.
Sites, in units of the cell vectors:
Rb1 0.0000 0.0000 0.0000  2 Al 3.35, 4 Zn 3.55
Mn1 0.0000 0.5000 0.5000  2 Al 2.51
Mn2 0.5000 0.0000 0.5000  2 Al 2.51
Al1 0.0000 0.0000 0.5000  4 Mn 2.51
Zn1 0.5000 0.5000 0.0000  4 Rb 3.55

## RbZrMnAl2 (GGA-PBE)

Data for crystalline RbZrMnAl2 at its relaxed geometry.

Computed properties:
Crystal system: tetragonal
E (eV per atom): -3.23
Calculated volume (Å³/atom): 23.33
SG: P4/mmm (123)
Energy of formation from the pure elements (eV/f.u.): 10.0
D(E_F) (states/eV/f.u.): 5.3

Cell: 5.1257 5.1257 4.4402 Å, 90.00 90.00 90.00°
Closest atoms and distances in Å follow each position.
Sites, in units of the cell vectors:
Rb1 0.0000 0.0000 0.0000  2 Mn 2.22
Zr1 0.5000 0.5000 0.5000  8 Al 3.39, 4 Mn 3.62
Mn1 0.0000 0.0000 0.5000  2 Rb 2.22
Al1 0.0000 0.5000 0.0000  2 Rb 2.56
Al2 0.5000 0.0000 0.0000  2 Rb 2.56

## RbZrMnAl2 (GGA-PBE)

Data for crystalline RbZrMnAl2 at its relaxed geometry.

Computed properties:
Crystal system: tetragonal
E (eV per atom): -4.08
Calculated volume (Å³/atom): 22.53
SG: P4/mmm (123)
Energy of formation from the pure elements (eV/f.u.): 5.8
D(E_F) (states/eV/f.u.): 5.7

Cell: 4.7504 4.7504 4.9923 Å, 90.00 90.00 90.00°
Closest atoms and distances in Å follow each position.
Sites, in units of the cell vectors:
Rb1 0.0000 0.0000 0.0000  2 Mn 2.50
Zr1 0.5000 0.5000 0.0000  4 Rb 3.36, 8 Al 3.45
Mn1 0.0000 0.0000 0.5000  4 Al 2.38, 2 Rb 2.50
Al1 0.0000 0.5000 0.5000  2 Mn 2.38
Al2 0.5000 0.0000 0.5000  2 Mn 2.38

## MnAl2Re (GGA-PBE)

Data for crystalline MnAl2Re at its relaxed geometry.

Computed properties:
Crystal system: tetragonal
E (eV per atom): -6.84
Calculated volume (Å³/atom): 15.45
SG: I-42d (122)
Energy of formation from the pure elements (eV/f.u.): 1.7
D(E_F) (states/eV/f.u.): 2.9

Cell: 5.4948 5.4948 5.4948 Å, 103.90 103.90 121.30°
Closest atoms and distances in Å follow each position.
Sites, in units of the cell vectors:
Mn1 0.0000 0.0000 0.0000  4 Al 2.44, 2 Re 2.69
Mn2 0.7500 0.2500 0.5000  4 Al 2.44, 2 Re 2.69
Al1 0.1140 0.1250 0.4890  2 Mn 2.44, 2 Re 2.54, 2 Al 2.70
Al2 0.3750 0.8860 0.0110  2 Mn 2.44, 2 Re 2.54, 2 Al 2.70
Al3 0.6360 0.6250 0.5110  2 Mn 2.44, 2 Re 2.54, 2 Al 2.70
Al4 0.8750 0.3640 0.9890  2 Mn 2.44, 2 Re 2.54, 2 Al 2.70
Re1 0.2500 0.7500 0.5000  4 Al 2.54, 2 Mn 2.69
Re2 0.5000 0.5000 0.0000  4 Al 2.54, 2 Mn 2.69

> The lowest E belongs to which entry?

MnAl2Re

> What is the formula in the first record?

Rb2Mn2Al